Material: Ac12LaTb7
Method: DFT, GGA-PBE
State: optimized geometry

Unit cell a=6.637 b=12.200 c=12.200 alpha=116.79 beta=100.45 gamma=100.45
Positions (direct):
Ac: 0.088 0.586 0.174
Ac: 0.086 0.174 0.588
Ac: 0.565 0.655 0.001
Ac: 0.437 0.001 0.346
Ac: 0.499 0.412 0.586
Ac: 0.090 0.654 0.655
Ac: 0.910 0.346 0.345
Ac: 0.501 0.588 0.414
Ac: 0.563 0.999 0.654
Ac: 0.435 0.345 0.999
Ac: 0.914 0.826 0.412
Ac: 0.912 0.414 0.826
La: 0.000 0.000 0.000
Tb: 0.106 0.759 0.001
Tb: 0.895 0.001 0.242
Tb: 0.653 0.758 0.759
Tb: 0.500 0.000 0.000
Tb: 0.347 0.242 0.241
Tb: 0.105 0.999 0.758
Tb: 0.894 0.241 0.999

Calculated values
- Total magnetic moment: 0.00 μB per formula unit
- Calculated formation energy: 4.57 eV/f.u.
- Final energy: -82.07 eV for the cell shown